No. 1
First-principles (PBE) data for a relaxed LiZr2Tl crystal, as listed in the Alexandria database.

Calculated values
density: 7.59 g/cm3
DFT formation energy: 79.5 meV/atom

a = 3.127 Å, b = 5.147 Å, c = 5.525 Å
α = 90.00°, β = 104.41°, γ = 90.00°
Atoms (fractional coordinates):
Li  0.000  0.000  0.000
Zr  0.212  0.500  0.758
Zr  0.788  0.500  0.242
Tl  0.500  0.000  0.500

=====

No. 2
First-principles (PBE) data for a relaxed Li5Sn2Bi crystal, as listed in the Alexandria database.

Calculated values
density: 4.91 g/cm3
DFT formation energy: -402.6 meV/atom

a = 9.217 Å, b = 9.217 Å, c = 9.217 Å
α = 152.87°, β = 152.87°, γ = 38.75°
Atoms (fractional coordinates):
Li  0.000  0.000  0.000
Li  0.123  0.623  0.500
Li  0.377  0.877  0.500
Li  0.623  0.123  0.500
Li  0.877  0.377  0.500
Sn  0.239  0.239  0.000
Sn  0.761  0.761  0.000
Bi  0.500  0.500  0.000

=====

No. 3
First-principles (PBE) data for a relaxed TlTc2P crystal, as listed in the Alexandria database.

Calculated values
ΔE to the lowest computed polymorph: 0.169 eV/atom
density: 10.87 g/cm3
DFT formation energy: 213.0 meV/atom

a = 3.071 Å, b = 3.627 Å, c = 6.060 Å
α = 90.00°, β = 102.67°, γ = 90.00°
Atoms (fractional coordinates):
Tl  0.000  0.000  0.000
Tc  0.342  0.500  0.700
Tc  0.658  0.500  0.300
P  0.000  0.000  0.500

=====

No. 4
First-principles (PBE) data for a relaxed Rb2LiPaF6 crystal, as listed in the Alexandria database.

Calculated values
density: 4.77 g/cm3
energy relative to the elements, uncorrected: -3.008 eV/atom

a = 6.297 Å, b = 6.297 Å, c = 6.434 Å
α = 119.34°, β = 119.34°, γ = 59.88°
Atoms (fractional coordinates):
Rb  0.244  0.244  0.233
Rb  0.756  0.756  0.767
Li  0.500  0.500  0.000
Pa  0.000  0.000  0.500
F  0.248  0.745  0.237
F  0.255  0.255  0.762
F  0.255  0.752  0.763
F  0.745  0.248  0.237
F  0.745  0.745  0.238
F  0.752  0.255  0.763

=====

No. 5
First-principles (PBE) data for a relaxed Pm4Nd2Ho crystal, as listed in the Alexandria database.

Calculated values
ΔE to the lowest computed polymorph: 0.000 eV/atom
density: 7.20 g/cm3
DFT formation energy: 11.9 meV/atom

a = 20.870 Å, b = 20.870 Å, c = 20.870 Å
α = 10.01°, β = 10.01°, γ = 10.01°
Atoms (fractional coordinates):
Pm  0.143  0.143  0.143
Pm  0.287  0.287  0.287
Pm  0.713  0.713  0.713
Pm  0.857  0.857  0.857
Nd  0.428  0.428  0.428
Nd  0.572  0.572  0.572
Ho  0.000  0.000  0.000

=====

No. 6
First-principles (PBE) data for a relaxed MgCuBi crystal, as listed in the Alexandria database.

Calculated values
density: 5.61 g/cm3
DFT formation energy: 785.8 meV/atom

a = 4.184 Å, b = 4.184 Å, c = 11.597 Å
α = 90.00°, β = 90.00°, γ = 120.00°
Atoms (fractional coordinates):
Mg  0.000  0.000  0.250
Mg  0.000  0.000  0.750
Cu  0.333  0.667  0.250
Cu  0.667  0.333  0.750
Bi  0.000  0.000  0.000
Bi  0.000  0.000  0.500

=====

No. 7
First-principles (PBE) data for a relaxed ScMo2Br crystal, as listed in the Alexandria database.

Calculated values
ΔE to the lowest computed polymorph: 0.845 eV/atom
density: 7.60 g/cm3
energy relative to the elements, uncorrected: 0.772 eV/atom

a = 4.663 Å, b = 4.663 Å, c = 3.183 Å
α = 90.00°, β = 90.00°, γ = 90.00°
Atoms (fractional coordinates):
Sc  0.000  0.000  0.000
Mo  0.000  0.500  0.500
Mo  0.500  0.000  0.500
Br  0.500  0.500  0.000

=====

No. 8
First-principles (PBE) data for a relaxed Li2InHg7 crystal, as listed in the Alexandria database.

Calculated values
ΔE to the lowest computed polymorph: 0.078 eV/atom
density: 9.03 g/cm3
DFT formation energy: -35.6 meV/atom

a = 7.958 Å, b = 7.958 Å, c = 5.003 Å
α = 90.00°, β = 90.00°, γ = 117.16°
Atoms (fractional coordinates):
Li  0.203  0.797  0.000
Li  0.797  0.203  0.000
In  0.500  0.500  0.500
Hg  0.000  0.000  0.000
Hg  0.186  0.426  0.000
Hg  0.270  0.730  0.500
Hg  0.426  0.186  0.000
Hg  0.574  0.814  0.000
Hg  0.730  0.270  0.500
Hg  0.814  0.574  0.000

=====

No. 9
First-principles (PBE) data for a relaxed PaZnAg2 crystal, as listed in the Alexandria database.

Calculated values
ΔE to the lowest computed polymorph: 0.091 eV/atom
density: 10.38 g/cm3
DFT formation energy: 162.2 meV/atom

a = 4.876 Å, b = 4.876 Å, c = 4.876 Å
α = 60.00°, β = 60.00°, γ = 60.00°
Atoms (fractional coordinates):
Pa  0.000  0.000  0.000
Zn  0.500  0.500  0.500
Ag  0.250  0.250  0.250
Ag  0.750  0.750  0.750

=====

No. 10
First-principles (PBE) data for a relaxed K4Mo crystal, as listed in the Alexandria database.

Calculated values
ΔE to the lowest computed polymorph: 0.000 eV/atom
density: 1.59 g/cm3
DFT formation energy: 930.4 meV/atom

a = 7.241 Å, b = 7.241 Å, c = 7.241 Å
α = 100.25°, β = 100.25°, γ = 130.09°
Atoms (fractional coordinates):
K  0.112  0.715  0.827
K  0.285  0.112  0.397
K  0.715  0.888  0.603
K  0.888  0.285  0.173
Mo  0.500  0.500  0.000

=====

No. 11
First-principles (PBE) data for a relaxed HfS2IN crystal, as listed in the Alexandria database.

Calculated values
ΔE to the lowest computed polymorph: 1.147 eV/atom
density: 6.23 g/cm3
energy relative to the elements, uncorrected: 1.216 eV/atom

a = 5.127 Å, b = 5.127 Å, c = 3.888 Å
α = 90.00°, β = 90.00°, γ = 90.00°
Atoms (fractional coordinates):
Hf  0.000  0.000  0.000
S  0.000  0.500  0.500
S  0.500  0.000  0.500
I  0.500  0.500  0.500
N  0.500  0.500  0.000

=====

No. 12
First-principles (PBE) data for a relaxed La4Cd2S crystal, as listed in the Alexandria database.

Calculated values
ΔE to the lowest computed polymorph: 0.102 eV/atom
density: 5.63 g/cm3
energy relative to the elements, uncorrected: -0.640 eV/atom

a = 8.727 Å, b = 8.727 Å, c = 8.727 Å
α = 142.97°, β = 142.97°, γ = 53.37°
Atoms (fractional coordinates):
La  0.000  0.500  0.500
La  0.183  0.183  0.000
La  0.500  0.000  0.500
La  0.817  0.817  0.000
Cd  0.384  0.384  0.000
Cd  0.616  0.616  0.000
S  0.000  0.000  0.000

=====

No. 13
First-principles (PBE) data for a relaxed V4ZnGa2 crystal, as listed in the Alexandria database.

Calculated values
ΔE to the lowest computed polymorph: 0.733 eV/atom
density: 5.27 g/cm3
DFT formation energy: 889.8 meV/atom

a = 7.291 Å, b = 7.291 Å, c = 7.291 Å
α = 144.72°, β = 144.72°, γ = 50.76°
Atoms (fractional coordinates):
V  0.000  0.500  0.500
V  0.181  0.181  0.000
V  0.500  0.000  0.500
V  0.819  0.819  0.000
Zn  0.000  0.000  0.000
Ga  0.378  0.378  0.000
Ga  0.622  0.622  0.000

=====

No. 14
First-principles (PBE) data for a relaxed Zr3BMo crystal, as listed in the Alexandria database.

Calculated values
ΔE to the lowest computed polymorph: 1.356 eV/atom
density: 5.14 g/cm3
DFT formation energy: 1517.3 meV/atom

a = 4.971 Å, b = 4.971 Å, c = 4.971 Å
α = 90.00°, β = 90.00°, γ = 90.00°
Atoms (fractional coordinates):
Zr  0.000  0.000  0.500
Zr  0.000  0.500  0.000
Zr  0.500  0.000  0.000
B  0.500  0.500  0.500
Mo  0.000  0.000  0.000

=====

no.,total moment (μB/f.u.),final energy (eV per atom),DOS(E_F) (states/eV/atom)
1,0.00,-5.265,0.86
2,0.00,-3.085,0.25
3,0.00,-6.914,0.60
4,1.71,-5.465,0.41
5,0.00,-4.719,1.25
6,0.00,-2.405,0.70
7,0.00,-6.645,1.23
8,0.00,-0.903,0.43
9,0.00,-3.956,0.96
10,5.10,-2.114,0.61
11,0.92,-4.401,0.85
12,0.00,-4.307,0.84
13,5.41,-5.368,1.21
14,0.00,-7.113,1.85